VASP calculation (GGA-PBE) on an optimized crystal structure of HoPuIr.

abc: 4.783 4.783 4.783
angles: 60.00 60.00 60.00
Site moments in Bohr magnetons follow the coordinates.
Atoms (fractional coordinates):
Ho  0.000  0.000  0.000  0.25
Ir  0.250  0.250  0.250  -0.12
Pu  0.500  0.500  0.500  5.32

* energy above the most stable polymorph in this dataset: 110.3 meV per atom
* energy of formation from the pure elements: -0.458 eV/atom